The following is a DFT calculation (PBE) of a relaxed structure of DyAl2Ni9.

## Properties
- ΔH_f (0 K) (meV/atom) = -370
- space group = P4/mbm
- total energy (eV for the cell shown) = -137.11
- excess energy over the best structure of this formula in the dataset (meV/atom) = 0.0
- magnetization (μB/f.u.) = 0.56
- DOS(E_F) (states/eV per cell) = 37.2

Lattice parameters (Å, degrees): 4.711 8.049 8.049 90.00 90.00 90.00
Fractional positions:
Ni 0.500 0.791 0.065
Ni 0.500 0.000 0.500
Ni 0.500 0.935 0.791
Ni 0.760 0.323 0.177
Ni 0.500 0.500 0.000
Ni 0.760 0.177 0.677
Ni 0.240 0.677 0.823
Ni 0.500 0.565 0.291
Ni 0.760 0.823 0.323
Ni 0.240 0.177 0.677
Ni 0.240 0.323 0.177
Ni 0.500 0.291 0.435
Ni 0.240 0.823 0.323
Ni 0.500 0.209 0.935
Ni 0.500 0.065 0.209
Ni 0.500 0.709 0.565
Ni 0.760 0.677 0.823
Ni 0.500 0.435 0.709
Al 0.000 0.621 0.121
Al 0.000 0.121 0.379
Al 0.000 0.379 0.879
Al 0.000 0.879 0.621
Dy 0.000 0.000 0.000
Dy 0.000 0.500 0.500